ThTaPd: relaxed, PBE.

Computed properties:
* uncorrected energy: -93.54 eV per cell
* theoretical density: 11.56 g cm⁻³
* total magnetization: 0.65 μB/f.u.
* formation energy from the elements: 0.352 eV per atom

Unit cell a=6.6823 b=6.6823 c=6.6823 alpha=90.00 beta=90.00 gamma=90.00
Closest atoms and distances in Å follow each position.
Space group F-43m (No. 216)
Inequivalent atoms, fractional coordinates:
1 Th 0.0000 0.0000 0.0000 x4  4 Pd 2.89
2 Ta 0.0000 0.0000 0.5000 x4  4 Pd 2.89
3 Pd 0.2500 0.2500 0.7500 x4  4 Ta 2.89, 4 Th 2.89

FeReSnMo: relaxed, PBE.

Computed properties:
* uncorrected energy: -137.22 eV per cell
* theoretical density: 12.15 g cm⁻³
* total magnetization: 2.13 μB/f.u.
* energy above the most stable polymorph in this dataset: 0.0 meV/atom

Unit cell a=6.2969 b=6.2969 c=6.2969 alpha=90.00 beta=90.00 gamma=90.00
Closest atoms and distances in Å follow each position.
Space group F-43m (No. 216)
Inequivalent atoms, fractional coordinates:
1 Fe 0.0000 0.0000 0.0000 x4  4 Sn 2.73, 4 Mo 2.73
2 Re 0.0000 0.0000 0.5000 x4  4 Mo 2.73, 4 Sn 2.73
3 Sn 0.2500 0.2500 0.7500 x4  4 Re 2.73, 4 Fe 2.73
4 Mo 0.2500 0.2500 0.2500 x4  4 Fe 2.73, 4 Re 2.73

Be2NbTc: relaxed, PBE.

Computed properties:
* uncorrected energy: -110.22 eV per cell
* theoretical density: 6.62 g cm⁻³
* total magnetization: 0.00 μB/f.u.

Unit cell a=5.9419 b=5.9419 c=5.9419 alpha=90.00 beta=90.00 gamma=90.00
Closest atoms and distances in Å follow each position.
Space group F-43m (No. 216)
Inequivalent atoms, fractional coordinates:
1 Be 0.0000 0.0000 0.0000 x4  4 Nb 2.57, 4 Be 2.57
2 Be 0.2500 0.2500 0.2500 x4  4 Tc 2.57, 4 Be 2.57
3 Nb 0.2500 0.2500 0.7500 x4  4 Tc 2.57, 4 Be 2.57
4 Tc 0.0000 0.0000 0.5000 x4  4 Nb 2.57, 4 Be 2.57

KTbAg: relaxed, PBE.

Computed properties:
* uncorrected energy: -22.71 eV per cell
* theoretical density: 5.18 g cm⁻³
* total magnetization: 0.42 μB/f.u.

Unit cell a=7.3192 b=7.3192 c=7.3192 alpha=90.00 beta=90.00 gamma=90.00
Closest atoms and distances in Å follow each position.
Space group F-43m (No. 216)
Inequivalent atoms, fractional coordinates:
1 K 0.0000 0.0000 0.0000 x4  4 Tb 3.17, 4 Ag 3.17
2 Tb 0.2500 0.2500 0.2500 x4  4 K 3.17
3 Ag 0.2500 0.2500 0.7500 x4  4 K 3.17

CsYPtSe3: relaxed, PBE.

Computed properties:
* uncorrected energy: -122.61 eV per cell
* theoretical density: 6.16 g cm⁻³
* total magnetization: 0.00 μB/f.u.
* energy above the most stable polymorph in this dataset: 0.0 meV/atom

Unit cell a=4.0624 b=16.7412 c=10.3624 alpha=90.00 beta=90.00 gamma=90.00
Closest atoms and distances in Å follow each position.
Space group Cmcm (No. 63)
Inequivalent atoms, fractional coordinates:
1 Cs 0.0000 0.2503 0.2500 x4  6 Se 3.54-3.58
2 Y 0.0000 0.0000 0.0000 x4  6 Se 2.88-2.89
3 Pt 0.0000 0.4857 0.7500 x4  4 Se 2.52-2.54
4 Se 0.0000 0.0764 0.7500 x4  2 Pt 2.54
5 Se 0.0000 0.3853 0.5687 x8  1 Pt 2.52

TbSn2: relaxed, PBE.

Computed properties:
* uncorrected energy: -106.86 eV per cell
* theoretical density: 8.00 g cm⁻³
* total magnetization: 0.02 μB/f.u.

Unit cell a=8.6977 b=8.6977 c=8.6977 alpha=90.00 beta=90.00 gamma=90.00
Closest atoms and distances in Å follow each position.
Space group Fd-3m (No. 227, origin choice 2)
Inequivalent atoms, fractional coordinates:
1 Tb 0.1250 0.1250 0.1250 x8  12 Sn 3.61, 4 Tb 3.77
2 Sn 0.0000 0.0000 0.5000 x16  6 Sn 3.08